(1)
# PBE RbZrHg2Mo, optimized geometry
data_RbZrHg2Mo
_chemical_formula_sum 'Rb1 Zr1 Hg2 Mo1'
_space_group_name_H-M_alt 'P 4/m m m'
_space_group_IT_number 123
_space_group_name_Hall '-P 4 2'
_cell_length_a 5.445
_cell_length_b 5.445
_cell_length_c 4.970
_cell_angle_alpha 90.00
_cell_angle_beta 90.00
_cell_angle_gamma 90.00
loop_
_atom_site_label
_atom_site_fract_x
_atom_site_fract_y
_atom_site_fract_z
_atom_site_occupancy
Rb1 0.000 0.000 0.000 1
Zr1 0.500 0.500 0.500 1
Hg1 0.000 0.500 0.000 1
Mo1 0.000 0.000 0.500 1
# - Crystal system: tetragonal
# - Theoretical density: 7.6 g cm⁻³
# - Energy relative to the elements: 2.17 eV per atom
# - Spin magnetization: 0.00 μB/f.u.
# - Fermi-level density of states: 9.32 states/eV per cell


(2)
# PBE ReHgMo, optimized geometry
data_ReHgMo
_chemical_formula_sum 'Re4 Hg4 Mo4'
_space_group_name_H-M_alt 'F -4 3 m'
_space_group_IT_number 216
_space_group_name_Hall 'F -4 2 3'
_cell_length_a 6.223
_cell_length_b 6.223
_cell_length_c 6.223
_cell_angle_alpha 90.00
_cell_angle_beta 90.00
_cell_angle_gamma 90.00
loop_
_atom_site_label
_atom_site_fract_x
_atom_site_fract_y
_atom_site_fract_z
_atom_site_occupancy
Re1 0.000 0.000 0.000 1
Hg1 0.250 0.250 0.750 1
Mo1 0.250 0.250 0.250 1
# - Crystal system: cubic
# - Theoretical density: 13.3 g cm⁻³
# - Energy relative to the elements: 1.06 eV per atom
# - Spin magnetization: 0.00 μB/f.u.
# - Fermi-level density of states: 17.39 states/eV per cell


(3)
# PBE ReHgMo, optimized geometry
data_ReHgMo
_chemical_formula_sum 'Re2 Hg2 Mo2'
_space_group_name_H-M_alt 'I m m 2'
_space_group_IT_number 44
_space_group_name_Hall 'I 2 -2'
_cell_length_a 2.848
_cell_length_b 4.066
_cell_length_c 8.707
_cell_angle_alpha 90.00
_cell_angle_beta 90.00
_cell_angle_gamma 90.00
loop_
_atom_site_label
_atom_site_fract_x
_atom_site_fract_y
_atom_site_fract_z
_atom_site_occupancy
Re1 0.000 0.000 0.000 1
Hg1 0.000 0.000 0.675 1
Mo1 0.000 0.000 0.351 1
# - Crystal system: orthorhombic
# - Theoretical density: 15.9 g cm⁻³
# - Energy relative to the elements: 0.60 eV per atom
# - Spin magnetization: 0.00 μB/f.u.
# - Fermi-level density of states: 4.51 states/eV per cell


(4)
# PBE ReHgMo2, optimized geometry
data_ReHgMo2
_chemical_formula_sum 'Re2 Hg2 Mo4'
_space_group_name_H-M_alt 'I m m 2'
_space_group_IT_number 44
_space_group_name_Hall 'I 2 -2'
_cell_length_a 3.207
_cell_length_b 4.569
_cell_length_c 9.169
_cell_angle_alpha 90.00
_cell_angle_beta 90.00
_cell_angle_gamma 90.00
loop_
_atom_site_label
_atom_site_fract_x
_atom_site_fract_y
_atom_site_fract_z
_atom_site_occupancy
Re1 0.000 0.000 0.000 1
Hg1 0.000 0.500 0.767 1
Mo1 0.000 0.000 0.538 1
Mo2 0.000 0.500 0.274 1
# - Crystal system: orthorhombic
# - Theoretical density: 14.3 g cm⁻³
# - Energy relative to the elements: 0.54 eV per atom
# - Spin magnetization: 0.00 μB/f.u.
# - Fermi-level density of states: 7.75 states/eV per cell


(5)
# PBE Re3HgMo, optimized geometry
data_Re3HgMo
_chemical_formula_sum 'Re3 Hg1 Mo1'
_space_group_name_H-M_alt 'P m -3 m'
_space_group_IT_number 221
_space_group_name_Hall '-P 4 2 3'
_cell_length_a 4.800
_cell_length_b 4.800
_cell_length_c 4.800
_cell_angle_alpha 90.00
_cell_angle_beta 90.00
_cell_angle_gamma 90.00
loop_
_atom_site_label
_atom_site_fract_x
_atom_site_fract_y
_atom_site_fract_z
_atom_site_occupancy
Re1 0.000 0.000 0.500 1
Hg1 0.000 0.000 0.000 1
Mo1 0.500 0.500 0.500 1
# - Crystal system: cubic
# - Theoretical density: 12.8 g cm⁻³
# - Energy relative to the elements: 3.45 eV per atom
# - Spin magnetization: 0.38 μB/f.u.
# - Fermi-level density of states: 9.88 states/eV per cell


(6)
# PBE ReHgMo2, optimized geometry
data_ReHgMo2
_chemical_formula_sum 'Re2 Hg2 Mo4'
_space_group_name_H-M_alt 'C 1 2/m 1'
_space_group_IT_number 12
_space_group_name_Hall '-C 2y'
_cell_length_a 9.593
_cell_length_b 2.973
_cell_length_c 4.810
_cell_angle_alpha 90.00
_cell_angle_beta 102.78
_cell_angle_gamma 90.00
loop_
_atom_site_label
_atom_site_fract_x
_atom_site_fract_y
_atom_site_fract_z
_atom_site_occupancy
Re1 0.000 0.000 0.000 1
Hg1 0.000 0.500 0.500 1
Mo1 0.240 0.500 0.221 1
# - Crystal system: monoclinic
# - Theoretical density: 14.4 g cm⁻³
# - Energy relative to the elements: 0.54 eV per atom
# - Spin magnetization: 0.00 μB/f.u.
# - Fermi-level density of states: 6.36 states/eV per cell


(7)
# PBE ReHgMo, optimized geometry
data_ReHgMo
_chemical_formula_sum 'Re1 Hg1 Mo1'
_space_group_name_H-M_alt 'P 3 m 1'
_space_group_IT_number 156
_space_group_name_Hall 'P 3 -2"'
_cell_length_a 2.9317
_cell_length_b 2.9317
_cell_length_c 7.0213
_cell_angle_alpha 90.00
_cell_angle_beta 90.00
_cell_angle_gamma 120.00
loop_
_atom_site_label
_atom_site_fract_x
_atom_site_fract_y
_atom_site_fract_z
_atom_site_occupancy
Re1 0.0000 0.0000 0.0000 1
Hg1 0.6667 0.3333 0.3590 1
Mo1 0.3333 0.6667 0.7197 1
# - Crystal system: trigonal
# - Theoretical density: 15.3 g cm⁻³
# - Energy relative to the elements: 0.48 eV per atom
# - Spin magnetization: 0.00 μB/f.u.
# - Fermi-level density of states: 2.85 states/eV per cell


(8)
# PBE ReHgMo2, optimized geometry
data_ReHgMo2
_chemical_formula_sum 'Re2 Hg2 Mo4'
_space_group_name_H-M_alt 'C 1 m 1'
_space_group_IT_number 8
_space_group_name_Hall 'C -2y'
_cell_length_a 9.536
_cell_length_b 2.967
_cell_length_c 4.853
_cell_angle_alpha 90.00
_cell_angle_beta 102.84
_cell_angle_gamma 90.00
loop_
_atom_site_label
_atom_site_fract_x
_atom_site_fract_y
_atom_site_fract_z
_atom_site_occupancy
Re1 0.000 0.000 0.000 1
Hg1 0.259 0.500 0.281 1
Mo1 0.020 0.500 0.551 1
Mo2 0.267 0.000 0.786 1
# - Crystal system: monoclinic
# - Theoretical density: 14.4 g cm⁻³
# - Energy relative to the elements: 0.51 eV per atom
# - Spin magnetization: 0.00 μB/f.u.
# - Fermi-level density of states: 6.46 states/eV per cell


(9)
# PBE ReHgMo2, optimized geometry
data_ReHgMo2
_chemical_formula_sum 'Re2 Hg2 Mo4'
_space_group_name_H-M_alt 'I -4 m 2'
_space_group_IT_number 119
_space_group_name_Hall 'I -4 -2'
_cell_length_a 4.015
_cell_length_b 4.015
_cell_length_c 8.166
_cell_angle_alpha 90.00
_cell_angle_beta 90.00
_cell_angle_gamma 90.00
loop_
_atom_site_label
_atom_site_fract_x
_atom_site_fract_y
_atom_site_fract_z
_atom_site_occupancy
Re1 0.000 0.000 0.000 1
Hg1 0.000 0.500 0.750 1
Mo1 0.000 0.000 0.500 1
Mo2 0.000 0.500 0.250 1
# - Crystal system: tetragonal
# - Theoretical density: 14.6 g cm⁻³
# - Energy relative to the elements: 0.55 eV per atom
# - Spin magnetization: 0.00 μB/f.u.
# - Fermi-level density of states: 5.60 states/eV per cell


(10)
# PBE ReHg3Mo, optimized geometry
data_ReHg3Mo
_chemical_formula_sum 'Re1 Hg3 Mo1'
_space_group_name_H-M_alt 'P m -3 m'
_space_group_IT_number 221
_space_group_name_Hall '-P 4 2 3'
_cell_length_a 5.262
_cell_length_b 5.262
_cell_length_c 5.262
_cell_angle_alpha 90.00
_cell_angle_beta 90.00
_cell_angle_gamma 90.00
loop_
_atom_site_label
_atom_site_fract_x
_atom_site_fract_y
_atom_site_fract_z
_atom_site_occupancy
Re1 0.000 0.000 0.000 1
Hg1 0.000 0.000 0.500 1
Mo1 0.500 0.500 0.500 1
# - Crystal system: cubic
# - Theoretical density: 10.1 g cm⁻³
# - Energy relative to the elements: 1.70 eV per atom
# - Spin magnetization: 3.17 μB/f.u.
# - Fermi-level density of states: 4.63 states/eV per cell


(11)
# PBE ReHgMo2, optimized geometry
data_ReHgMo2
_chemical_formula_sum 'Re2 Hg2 Mo4'
_space_group_name_H-M_alt 'I m m m'
_space_group_IT_number 71
_space_group_name_Hall '-I 2 2'
_cell_length_a 3.293
_cell_length_b 4.494
_cell_length_c 9.044
_cell_angle_alpha 90.00
_cell_angle_beta 90.00
_cell_angle_gamma 90.00
loop_
_atom_site_label
_atom_site_fract_x
_atom_site_fract_y
_atom_site_fract_z
_atom_site_occupancy
Re1 0.000 0.000 0.000 1
Hg1 0.000 0.000 0.500 1
Mo1 0.000 0.500 0.268 1
# - Crystal system: orthorhombic
# - Theoretical density: 14.4 g cm⁻³
# - Energy relative to the elements: 0.56 eV per atom
# - Spin magnetization: 0.00 μB/f.u.
# - Fermi-level density of states: 7.95 states/eV per cell


(12)
# PBE ReHgMo2, optimized geometry
data_ReHgMo2
_chemical_formula_sum 'Re1 Hg1 Mo2'
_space_group_name_H-M_alt 'P 1 m 1'
_space_group_IT_number 6
_space_group_name_Hall 'P -2y'
_cell_length_a 2.949
_cell_length_b 3.982
_cell_length_c 5.834
_cell_angle_alpha 90.00
_cell_angle_beta 90.30
_cell_angle_gamma 90.00
loop_
_atom_site_label
_atom_site_fract_x
_atom_site_fract_y
_atom_site_fract_z
_atom_site_occupancy
Re1 0.000 0.000 0.000 1
Hg1 0.485 0.500 0.296 1
Mo1 0.005 0.000 0.580 1
Mo2 0.453 0.500 0.802 1
# - Crystal system: monoclinic
# - Theoretical density: 14.0 g cm⁻³
# - Energy relative to the elements: 0.45 eV per atom
# - Spin magnetization: 0.00 μB/f.u.
# - Fermi-level density of states: 2.92 states/eV per cell


(13)
# PBE ReHgMo2, optimized geometry
data_ReHgMo2
_chemical_formula_sum 'Re4 Hg4 Mo8'
_space_group_name_H-M_alt 'F -4 3 m'
_space_group_IT_number 216
_space_group_name_Hall 'F -4 2 3'
_cell_length_a 6.436
_cell_length_b 6.436
_cell_length_c 6.436
_cell_angle_alpha 90.00
_cell_angle_beta 90.00
_cell_angle_gamma 90.00
loop_
_atom_site_label
_atom_site_fract_x
_atom_site_fract_y
_atom_site_fract_z
_atom_site_occupancy
Re1 0.000 0.000 0.000 1
Hg1 0.250 0.250 0.250 1
Mo1 0.000 0.000 0.500 1
Mo2 0.250 0.250 0.750 1
# - Crystal system: cubic
# - Theoretical density: 14.4 g cm⁻³
# - Energy relative to the elements: 0.67 eV per atom
# - Spin magnetization: 0.00 μB/f.u.
# - Fermi-level density of states: 10.47 states/eV per cell


(14)
# PBE Re3HgMo, optimized geometry
data_Re3HgMo
_chemical_formula_sum 'Re3 Hg1 Mo1'
_space_group_name_H-M_alt 'P m -3 m'
_space_group_IT_number 221
_space_group_name_Hall '-P 4 2 3'
_cell_length_a 4.733
_cell_length_b 4.733
_cell_length_c 4.733
_cell_angle_alpha 90.00
_cell_angle_beta 90.00
_cell_angle_gamma 90.00
loop_
_atom_site_label
_atom_site_fract_x
_atom_site_fract_y
_atom_site_fract_z
_atom_site_occupancy
Re1 0.000 0.000 0.500 1
Hg1 0.500 0.500 0.500 1
Mo1 0.000 0.000 0.000 1
# - Crystal system: cubic
# - Theoretical density: 13.4 g cm⁻³
# - Energy relative to the elements: 2.22 eV per atom
# - Spin magnetization: 1.97 μB/f.u.
# - Fermi-level density of states: 4.43 states/eV per cell


(15)
# PBE ReHgMo2, optimized geometry
data_ReHgMo2
_chemical_formula_sum 'Re2 Hg2 Mo4'
_space_group_name_H-M_alt 'C m m 2'
_space_group_IT_number 35
_space_group_name_Hall 'C 2 -2'
_cell_length_a 3.183
_cell_length_b 4.551
_cell_length_c 9.357
_cell_angle_alpha 90.00
_cell_angle_beta 90.00
_cell_angle_gamma 90.00
loop_
_atom_site_label
_atom_site_fract_x
_atom_site_fract_y
_atom_site_fract_z
_atom_site_occupancy
Re1 0.000 0.000 0.000 1
Hg1 0.000 0.500 0.273 1
Mo1 0.000 0.000 0.542 1
Mo2 0.000 0.500 0.773 1
# - Crystal system: orthorhombic
# - Theoretical density: 14.2 g cm⁻³
# - Energy relative to the elements: 0.41 eV per atom
# - Spin magnetization: 0.00 μB/f.u.
# - Fermi-level density of states: 6.16 states/eV per cell